Entry 1:
First-principles (PBE-GGA) data for a relaxed structure of La6AgAu5, as listed in Alexandria via LeMat-Bulk.

CIF file:
```
data_La6AgAu5
_cell_length_a 9.2658
_cell_length_b 16.0880
_cell_length_c 5.3522
_cell_angle_alpha 90.00
_cell_angle_beta 125.20
_cell_angle_gamma 90.00
_symmetry_space_group_name_H-M 'C 1 2/m 1'
_symmetry_Int_Tables_number 12
_symmetry_space_group_name_Hall '-C 2y'
loop_
_atom_site_label
_atom_site_type_symbol
_atom_site_fract_x
_atom_site_fract_y
_atom_site_fract_z
La1 La 0.2437 0.0000 0.2438
La2 La 0.2473 0.1693 0.7473
Ag1 Ag 0.0000 0.5000 0.0000
Au1 Au 0.0000 0.0000 0.5000
Au2 Au 0.0000 0.1679 0.0000
Au3 Au 0.0000 0.3422 0.5000
```

---

Entry 2:
First-principles (PBE-GGA) data for a relaxed structure of La5Ag2Au5, as listed in Alexandria via LeMat-Bulk.

CIF file:
```
data_La5Ag2Au5
_cell_length_a 16.8389
_cell_length_b 4.3198
_cell_length_c 11.7448
_cell_angle_alpha 90.00
_cell_angle_beta 131.55
_cell_angle_gamma 90.00
_symmetry_space_group_name_H-M 'C 1 2/m 1'
_symmetry_Int_Tables_number 12
_symmetry_space_group_name_Hall '-C 2y'
loop_
_atom_site_label
_atom_site_type_symbol
_atom_site_fract_x
_atom_site_fract_y
_atom_site_fract_z
La1 La 0.0000 0.0000 0.0000
La2 La 0.0927 0.0000 0.4074
La3 La 0.1977 0.0000 0.8168
Ag1 Ag 0.1395 0.5000 0.2612
Au1 Au 0.0000 0.5000 0.5000
Au2 Au 0.0758 0.5000 0.8606
Au3 Au 0.2301 0.5000 0.6594
```

---

Entry 3:
First-principles (PBE-GGA) data for a relaxed structure of LaAg2Au10, as listed in Alexandria via LeMat-Bulk.

CIF file:
```
data_LaAg2Au10
_cell_length_a 5.6761
_cell_length_b 13.4295
_cell_length_c 13.5040
_cell_angle_alpha 90.00
_cell_angle_beta 90.00
_cell_angle_gamma 90.00
_symmetry_space_group_name_H-M 'F m m m'
_symmetry_Int_Tables_number 69
_symmetry_space_group_name_Hall '-F 2 2'
loop_
_atom_site_label
_atom_site_type_symbol
_atom_site_fract_x
_atom_site_fract_y
_atom_site_fract_z
La1 La 0.0000 0.0000 0.0000
Ag1 Ag 0.2500 0.0000 0.2500
Au1 Au 0.0000 0.1069 0.3918
Au2 Au 0.0000 0.1725 0.1741
Au3 Au 0.2500 0.2500 0.0000
```

---

Entry 4:
First-principles (PBE-GGA) data for a relaxed structure of La2AgAu3, as listed in Alexandria via LeMat-Bulk.

Energy relative to the lowest polymorph listed for this composition, eV/atom: 0.0000

CIF file:
```
data_La2AgAu3
_cell_length_a 7.3366
_cell_length_b 9.5630
_cell_length_c 16.7963
_cell_angle_alpha 90.00
_cell_angle_beta 90.00
_cell_angle_gamma 90.00
_symmetry_space_group_name_H-M 'F m m m'
_symmetry_Int_Tables_number 69
_symmetry_space_group_name_Hall '-F 2 2'
loop_
_atom_site_label
_atom_site_type_symbol
_atom_site_fract_x
_atom_site_fract_y
_atom_site_fract_z
La1 La 0.2482 0.0000 0.0000
La2 La 0.2500 0.2500 0.2500
Ag1 Ag 0.0000 0.0000 0.3332
Au1 Au 0.0000 0.0000 0.1688
Au2 Au 0.0000 0.2481 0.4166
```

---

Entry 5:
First-principles (PBE-GGA) data for a relaxed structure of La2AgAu, as listed in Alexandria via LeMat-Bulk.

Energy relative to the lowest polymorph listed for this composition, eV/atom: 0.1197

CIF file:
```
data_La2AgAu
_cell_length_a 7.2497
_cell_length_b 7.2497
_cell_length_c 7.2497
_cell_angle_alpha 90.00
_cell_angle_beta 90.00
_cell_angle_gamma 90.00
_symmetry_space_group_name_H-M 'F -4 3 m'
_symmetry_Int_Tables_number 216
_symmetry_space_group_name_Hall 'F -4 2 3'
loop_
_atom_site_label
_atom_site_type_symbol
_atom_site_fract_x
_atom_site_fract_y
_atom_site_fract_z
La1 La 0.0000 0.0000 0.0000
La2 La 0.2500 0.2500 0.2500
Ag1 Ag 0.2500 0.2500 0.7500
Au1 Au 0.0000 0.0000 0.5000
```

---

Entry 6:
First-principles (PBE-GGA) data for a relaxed structure of LaAgAu3, as listed in Alexandria via LeMat-Bulk.

Energy relative to the lowest polymorph listed for this composition, eV/atom: 0.0000

CIF file:
```
data_LaAgAu3
_cell_length_a 5.3579
_cell_length_b 6.2164
_cell_length_c 7.1372
_cell_angle_alpha 90.00
_cell_angle_beta 107.92
_cell_angle_gamma 90.00
_symmetry_space_group_name_H-M 'P 1 21/m 1'
_symmetry_Int_Tables_number 11
_symmetry_space_group_name_Hall '-P 2yb'
loop_
_atom_site_label
_atom_site_type_symbol
_atom_site_fract_x
_atom_site_fract_y
_atom_site_fract_z
La1 La 0.2388 0.2500 0.2491
Ag1 Ag 0.3791 0.7500 0.0202
Au1 Au 0.2310 0.0212 0.6858
Au2 Au 0.2619 0.7500 0.3678
```

---

Entry 7:
First-principles (PBE-GGA) data for a relaxed structure of La2Ag2Au, as listed in Alexandria via LeMat-Bulk.

Energy relative to the lowest polymorph listed for this composition, eV/atom: 0.2378

CIF file:
```
data_La2Ag2Au
_cell_length_a 8.2931
_cell_length_b 8.2931
_cell_length_c 4.2213
_cell_angle_alpha 90.00
_cell_angle_beta 90.00
_cell_angle_gamma 90.00
_symmetry_space_group_name_H-M 'P 4/m b m'
_symmetry_Int_Tables_number 127
_symmetry_space_group_name_Hall '-P 4 2ab'
loop_
_atom_site_label
_atom_site_type_symbol
_atom_site_fract_x
_atom_site_fract_y
_atom_site_fract_z
La1 La 0.1702 0.3298 0.0000
Ag1 Ag 0.1239 0.6239 0.5000
Au1 Au 0.0000 0.0000 0.0000
```

---

Entry 8:
First-principles (PBE-GGA) data for a relaxed structure of La2Ag2Au, as listed in Alexandria via LeMat-Bulk.

Energy relative to the lowest polymorph listed for this composition, eV/atom: 0.0036

CIF file:
```
data_La2Ag2Au
_cell_length_a 3.8544
_cell_length_b 4.4793
_cell_length_c 15.2204
_cell_angle_alpha 90.00
_cell_angle_beta 90.00
_cell_angle_gamma 90.00
_symmetry_space_group_name_H-M 'A m m 2'
_symmetry_Int_Tables_number 38
_symmetry_space_group_name_Hall 'A 2 -2'
loop_
_atom_site_label
_atom_site_type_symbol
_atom_site_fract_x
_atom_site_fract_y
_atom_site_fract_z
La1 La 0.0000 0.0000 0.0000
La2 La 0.0000 0.0000 0.2450
Ag1 Ag 0.5000 0.0000 0.6237
Ag2 Ag 0.5000 0.0000 0.8154
Au1 Au 0.5000 0.0000 0.4283
```

---

Entry 9:
First-principles (PBE-GGA) data for a relaxed structure of LaAgAu3, as listed in Alexandria via LeMat-Bulk.

Energy relative to the lowest polymorph listed for this composition, eV/atom: 0.9346

CIF file:
```
data_LaAgAu3
_cell_length_a 5.6370
_cell_length_b 5.6370
_cell_length_c 5.6370
_cell_angle_alpha 90.00
_cell_angle_beta 90.00
_cell_angle_gamma 90.00
_symmetry_space_group_name_H-M 'P m -3 m'
_symmetry_Int_Tables_number 221
_symmetry_space_group_name_Hall '-P 4 2 3'
loop_
_atom_site_label
_atom_site_type_symbol
_atom_site_fract_x
_atom_site_fract_y
_atom_site_fract_z
La1 La 0.0000 0.0000 0.0000
Ag1 Ag 0.5000 0.5000 0.5000
Au1 Au 0.0000 0.0000 0.5000
```

---

Entry 10:
First-principles (PBE-GGA) data for a relaxed structure of La2Ag2Au, as listed in Alexandria via LeMat-Bulk.

Energy relative to the lowest polymorph listed for this composition, eV/atom: 0.2878

CIF file:
```
data_La2Ag2Au
_cell_length_a 5.9139
_cell_length_b 5.9139
_cell_length_c 8.0825
_cell_angle_alpha 90.00
_cell_angle_beta 90.00
_cell_angle_gamma 90.00
_symmetry_space_group_name_H-M 'I 4/m m m'
_symmetry_Int_Tables_number 139
_symmetry_space_group_name_Hall '-I 4 2'
loop_
_atom_site_label
_atom_site_type_symbol
_atom_site_fract_x
_atom_site_fract_y
_atom_site_fract_z
La1 La 0.0000 0.5000 0.2500
Ag1 Ag 0.0000 0.0000 0.1575
Au1 Au 0.0000 0.0000 0.5000
```

---

Number 1: energy of formation from the pure elements -16.04 kcal/mol of atoms. Number 2: energy of formation from the pure elements -14.93 kcal/mol of atoms. Number 3: energy of formation from the pure elements -4.71 kcal/mol of atoms. Number 4: energy of formation from the pure elements -15.95 kcal/mol of atoms. Number 5: energy of formation from the pure elements -9.66 kcal/mol of atoms. Number 6: energy of formation from the pure elements -10.41 kcal/mol of atoms. Number 7: energy of formation from the pure elements -4.93 kcal/mol of atoms. Number 8: energy of formation from the pure elements -10.33 kcal/mol of atoms. Number 9: energy of formation from the pure elements 11.14 kcal/mol of atoms. Number 10: energy of formation from the pure elements -3.78 kcal/mol of atoms.